VASP calculation (PBE with a Hubbard U) on a relaxed BeNiO crystal.

Lattice parameters (Å, degrees): 3.419 3.419 5.230 90.00 90.00 120.00
Site moments in Bohr magnetons follow the coordinates.
Fractional positions:
Ni (0.333, 0.667, 0.750)  0.47
Ni (0.667, 0.333, 0.250)  0.47
O (0.333, 0.667, 0.250)  0.04
O (0.667, 0.333, 0.750)  0.04
Be (0.000, 0.000, 0.000)  -0.07
Be (0.000, 0.000, 0.500)  -0.07

Computed properties:
- raw total energy (eV per atom) = -3.356